A relaxed structure of CaErWO6. Source: Alexandria via LeMat-Bulk, functional GGA+U.

Lattice parameters (Å, degrees): 5.5818 5.5818 4.8513 90.00 90.00 120.00
Positions (direct):
1 Ca 0.0000 0.0000 0.0000
2 Er 0.3333 0.6667 0.5000
3 W 0.6667 0.3333 0.5000
4 O 0.3759 0.0383 0.7212
5 O 0.3759 0.3376 0.2788
6 O 0.6624 0.0383 0.2788
7 O 0.6624 0.6241 0.7212
8 O 0.9617 0.3376 0.7212
9 O 0.9617 0.6241 0.2788

Results
- Crystal system: trigonal
- Space-group type: P312, No. 149
- E: -66.21 eV per formula unit